The following is a DFT calculation (PBE+U) of CsHoV2O6 after structural relaxation.

Geometry as POSCAR:
```
CsHoV2O6
1.0
7.440 0.741 0.646
-0.175 7.475 0.646
-1.391 -1.574 5.718
O V Cs Ho
12 4 2 2
direct
0.097 0.608 0.729
0.825 0.831 0.940
0.175 0.169 0.060
0.331 0.453 0.388
0.669 0.547 0.612
0.608 0.097 0.229
0.547 0.669 0.112
0.453 0.331 0.888
0.903 0.392 0.271
0.392 0.903 0.771
0.169 0.175 0.560
0.831 0.825 0.440
0.133 0.313 0.331
0.313 0.133 0.831
0.867 0.687 0.669
0.687 0.867 0.169
0.821 0.179 0.750
0.179 0.821 0.250
0.402 0.598 0.750
0.598 0.402 0.250
```

The calculation puts the total energy at -7.374 eV per atom. Its space-group type is C2/c (15).